No. 1
## KGa3Os (PBE-GGA)

Data for a geometry-optimized KGa3Os structure.

Calculated values
**Total energy**: -4.15 eV per atom
**Space group**: C2/m
**Energy above the most stable polymorph in this dataset**: 370 meV/atom

Geometry as POSCAR:
```
KGa3Os
1.0
8.7809 -1.9248 0.0000
8.7809 1.9248 0.0000
-1.9657 0.0000 7.0386
K Ga Os
2 6 2
direct
0.0922 0.0922 0.1710 K
0.9078 0.9078 0.8290 K
0.0674 0.0674 0.6454 Ga
0.2480 0.2480 0.8653 Ga
0.2957 0.2957 0.4539 Ga
0.7043 0.7043 0.5461 Ga
0.7520 0.7520 0.1347 Ga
0.9326 0.9326 0.3546 Ga
0.3530 0.3530 0.1876 Os
0.6470 0.6470 0.8124 Os
```

No. 2
## KGa3Os (PBE-GGA)

Data for a geometry-optimized KGa3Os structure.

Calculated values
**Total energy**: -3.97 eV per atom
**Space group**: Amm2
**Energy above the most stable polymorph in this dataset**: 555 meV/atom

Geometry as POSCAR:
```
KGa3Os
1.0
3.0384 0.0000 0.0000
0.0000 3.2438 8.4966
0.0000 -3.2438 8.4966
K Ga Os
1 3 1
direct
0.0000 0.0000 0.0000 K
0.0000 0.3747 0.9819 Ga
0.0000 0.9819 0.3747 Ga
0.5000 0.8184 0.8184 Ga
0.5000 0.6785 0.6785 Os
```

No. 3
## KGa3Os (PBE-GGA)

Data for a geometry-optimized KGa3Os structure.

Calculated values
**Total energy**: -4.10 eV per atom
**Space group**: P6_3/mmc
**Energy above the most stable polymorph in this dataset**: 420 meV/atom

Geometry as POSCAR:
```
KGa3Os
1.0
4.6798 0.0000 0.0000
-2.3399 4.0529 0.0000
0.0000 0.0000 10.0108
K Ga Os
2 6 2
direct
0.3333 0.6667 0.2500 K
0.6667 0.3333 0.7500 K
0.0000 0.0000 0.2500 Ga
0.0000 0.0000 0.7500 Ga
0.3333 0.6667 0.5554 Ga
0.3333 0.6667 0.9446 Ga
0.6667 0.3333 0.0554 Ga
0.6667 0.3333 0.4446 Ga
0.0000 0.0000 0.0000 Os
0.0000 0.0000 0.5000 Os
```

No. 4
## KGa3Os (PBE-GGA)

Data for a geometry-optimized KGa3Os structure.

Calculated values
**Total energy**: -4.05 eV per atom
**Space group**: I-4m2
**Energy above the most stable polymorph in this dataset**: 466 meV/atom

Geometry as POSCAR:
```
KGa3Os
1.0
-2.9347 2.9347 7.7654
2.9347 -2.9347 7.7654
2.9347 2.9347 -7.7654
K Ga Os
2 6 2
direct
0.1483 0.1483 0.0000 K
0.8517 0.8517 0.0000 K
0.0091 0.5091 0.5000 Ga
0.1370 0.3618 0.7752 Ga
0.4909 0.9909 0.5000 Ga
0.5867 0.3618 0.2248 Ga
0.6382 0.4133 0.7752 Ga
0.6382 0.8630 0.2248 Ga
0.5000 0.5000 0.0000 Os
0.7500 0.2500 0.5000 Os
```